i:
The following is a PBE-GGA calculation of CaTa2Ir after structural relaxation, from Alexandria.

a = 5.319 Å, b = 5.319 Å, c = 5.536 Å
α = 75.36°, β = 75.36°, γ = 32.66°
Atoms (fractional coordinates):
Ir: 0.276 0.276 0.216
Ta: 0.983 0.983 0.989
Ta: 0.723 0.723 0.830
Ca: 0.518 0.518 0.465

Space-group type   Cm, No. 8
DOS at the Fermi energy   5.29 states/eV/cell
Total magnetization   0.0 μB per formula unit

=====

ii:
The following is a PBE-GGA calculation of CaTa2Ir after structural relaxation, from Alexandria.

a = 5.722 Å, b = 5.722 Å, c = 5.722 Å
α = 148.52°, β = 127.79°, γ = 62.25°
Atoms (fractional coordinates):
Ca: 0.485 0.485 0.000
Ta: 0.768 0.268 0.500
Ta: 0.015 0.015 0.000
Ir: 0.231 0.731 0.500

Space-group type   Imm2, No. 44
DOS at the Fermi energy   3.44 states/eV/cell
Total magnetization   0.0 μB per formula unit

=====

iii:
The following is a PBE-GGA calculation of CaTa2Ir after structural relaxation, from Alexandria.

a = 4.746 Å, b = 2.928 Å, c = 5.505 Å
α = 77.91°, β = 90.00°, γ = 90.00°
Atoms (fractional coordinates):
Ta: 0.000 0.974 0.981
Ta: 0.000 0.526 0.519
Ir: 0.500 0.750 0.750
Ca: 0.500 0.250 0.250

Space-group type   P2/m, No. 10
DOS at the Fermi energy   3.67 states/eV/cell
Total magnetization   0.0 μB per formula unit

=====

iv:
The following is a PBE-GGA calculation of CaTa2Ir after structural relaxation, from Alexandria.

a = 4.718 Å, b = 4.718 Å, c = 4.718 Å
α = 60.00°, β = 60.00°, γ = 60.00°
Atoms (fractional coordinates):
Ca: 0.500 0.500 0.500
Ta: 0.250 0.250 0.250
Ta: 0.000 0.000 0.000
Ir: 0.750 0.750 0.750

Space-group type   F-43m, No. 216
DOS at the Fermi energy   5.12 states/eV/cell
Total magnetization   0.0 μB per formula unit

=====

Short version: i is the most stable of them.

=====

i:
The following is a PBE-GGA calculation of CaTa2Ir after structural relaxation, from Alexandria.

a = 2.915 Å, b = 4.524 Å, c = 5.722 Å
α = 90.00°, β = 90.00°, γ = 90.00°
Atoms (fractional coordinates):
Ca: 0.500 0.500 0.250
Ta: 0.000 0.000 0.980
Ta: 0.000 0.000 0.520
Ir: 0.500 0.500 0.750

Space-group type   Pmmm, No. 47
DOS at the Fermi energy   3.47 states/eV/cell
Total magnetization   0.0 μB per formula unit

=====

ii:
The following is a PBE-GGA calculation of CaTa2Ir after structural relaxation, from Alexandria.

a = 9.646 Å, b = 9.646 Å, c = 9.646 Å
α = 18.62°, β = 18.62°, γ = 18.62°
Atoms (fractional coordinates):
Ir: 0.741 0.741 0.741
Ca: 0.494 0.494 0.494
Ta: 0.260 0.260 0.260
Ta: 0.005 0.005 0.005

Space-group type   R3m, No. 160
DOS at the Fermi energy   3.74 states/eV/cell
Total magnetization   0.0 μB per formula unit

=====

Short version: ii is the most stable of them.

=====

i:
The following is a PBE-GGA calculation of CaTa2Ir after structural relaxation, from Alexandria.

a = 5.619 Å, b = 5.619 Å, c = 5.619 Å
α = 138.92°, β = 138.92°, γ = 59.50°
Atoms (fractional coordinates):
Ir: 0.750 0.250 0.500
Ta: 0.000 0.000 0.000
Ta: 0.500 0.500 0.000
Ca: 0.250 0.750 0.500

Space-group type   I4/mmm, No. 139
DOS at the Fermi energy   4.10 states/eV/cell
Total magnetization   0.0 μB per formula unit

=====

ii:
The following is a PBE-GGA calculation of CaTa2Ir after structural relaxation, from Alexandria.

a = 3.201 Å, b = 4.648 Å, c = 5.003 Å
α = 90.00°, β = 90.00°, γ = 90.00°
Atoms (fractional coordinates):
Ta: 0.500 0.500 0.000
Ta: 0.000 0.000 0.000
Ir: 0.000 0.500 0.500
Ca: 0.500 0.000 0.500

Space-group type   Pmmm, No. 47
DOS at the Fermi energy   3.48 states/eV/cell
Total magnetization   0.0 μB per formula unit

=====

iii:
The following is a PBE-GGA calculation of CaTa2Ir after structural relaxation, from Alexandria.

a = 4.866 Å, b = 4.866 Å, c = 3.072 Å
α = 90.00°, β = 90.00°, γ = 90.00°
Atoms (fractional coordinates):
Ta: 0.000 0.000 0.000
Ta: 0.500 0.500 0.000
Ir: 0.000 0.500 0.500
Ca: 0.500 0.000 0.500

Space-group type   P4/mmm, No. 123
DOS at the Fermi energy   4.83 states/eV/cell
Total magnetization   0.0 μB per formula unit

=====

iv:
The following is a PBE-GGA calculation of CaTa2Ir after structural relaxation, from Alexandria.

a = 5.371 Å, b = 5.609 Å, c = 2.883 Å
α = 81.08°, β = 77.70°, γ = 115.09°
Atoms (fractional coordinates):
Ta: 0.500 0.000 0.500
Ta: 0.000 0.000 0.000
Ir: 0.500 0.500 0.000
Ca: 0.000 0.500 0.500

Space-group type   C2/m, No. 12
DOS at the Fermi energy   3.78 states/eV/cell
Total magnetization   0.0 μB per formula unit

=====

Short version: ii is the most stable of them.

=====

i:
The following is a PBE-GGA calculation of CaTa2Ir after structural relaxation, from Alexandria.

a = 4.702 Å, b = 4.021 Å, c = 4.021 Å
α = 90.00°, β = 90.00°, γ = 90.00°
Atoms (fractional coordinates):
Ta: 0.000 0.500 0.500
Ta: 0.000 0.000 0.000
Ca: 0.500 0.500 0.000
Ir: 0.500 0.000 0.500

Space-group type   P4/mmm, No. 123
DOS at the Fermi energy   4.05 states/eV/cell
Total magnetization   0.0 μB per formula unit

=====

ii:
The following is a PBE-GGA calculation of CaTa2Ir after structural relaxation, from Alexandria.

a = 2.910 Å, b = 2.910 Å, c = 9.432 Å
α = 90.00°, β = 90.00°, γ = 90.08°
Atoms (fractional coordinates):
Ta: 0.000 0.000 0.549
Ta: 0.000 0.000 0.951
Ir: 0.500 0.500 0.750
Ca: 0.500 0.500 0.250

Space-group type   P4/mmm, No. 123
DOS at the Fermi energy   5.21 states/eV/cell
Total magnetization   0.0 μB per formula unit

=====

Short version: ii is the most stable of them.

=====

i:
The following is a PBE-GGA calculation of CaTa2Ir after structural relaxation, from Alexandria.

a = 7.889 Å, b = 7.889 Å, c = 6.267 Å
α = 50.99°, β = 50.99°, γ = 90.00°
Atoms (fractional coordinates):
Ta: 0.057 0.625 0.250
Ta: 0.693 0.125 0.250
Ta: 0.875 0.943 0.750
Ta: 0.375 0.307 0.750
Ca: 0.250 0.750 0.500
Ca: 0.500 0.500 0.000
Ir: 0.750 0.250 0.500
Ir: 0.000 0.000 0.000

Space-group type   I-42d, No. 122
DOS at the Fermi energy   9.29 states/eV/cell
Total magnetization   0.0 μB per formula unit

=====

ii:
The following is a PBE-GGA calculation of CaTa2Ir after structural relaxation, from Alexandria.

a = 10.284 Å, b = 10.284 Å, c = 10.284 Å
α = 16.58°, β = 16.58°, γ = 16.58°
Atoms (fractional coordinates):
Ta: 0.489 0.489 0.489
Ta: 0.011 0.011 0.011
Ir: 0.750 0.750 0.750
Ca: 0.250 0.250 0.250

Space-group type   R-3m, No. 166
DOS at the Fermi energy   3.58 states/eV/cell
Total magnetization   0.0 μB per formula unit

=====

iii:
The following is a PBE-GGA calculation of CaTa2Ir after structural relaxation, from Alexandria.

a = 3.116 Å, b = 3.116 Å, c = 8.457 Å
α = 90.00°, β = 90.00°, γ = 90.00°
Atoms (fractional coordinates):
Ta: 0.500 0.500 0.200
Ta: 0.000 0.000 0.971
Ca: 0.000 0.000 0.534
Ir: 0.500 0.500 0.795

Space-group type   P4mm, No. 99
DOS at the Fermi energy   4.10 states/eV/cell
Total magnetization   0.1 μB per formula unit

=====

iv:
The following is a PBE-GGA calculation of CaTa2Ir after structural relaxation, from Alexandria.

a = 5.497 Å, b = 5.497 Å, c = 2.858 Å
α = 90.00°, β = 90.00°, γ = 120.06°
Atoms (fractional coordinates):
Ir: 0.000 0.500 0.500
Ta: 0.500 0.500 0.000
Ta: 0.000 0.000 0.000
Ca: 0.500 0.000 0.500

Space-group type   Cmmm, No. 65
DOS at the Fermi energy   3.72 states/eV/cell
Total magnetization   0.0 μB per formula unit

=====

Short version: iii is the most stable of them.

=====

i:
The following is a PBE-GGA calculation of Ca2TaIr2 after structural relaxation, from Alexandria.

a = 8.066 Å, b = 8.066 Å, c = 2.961 Å
α = 90.00°, β = 90.00°, γ = 90.00°
Atoms (fractional coordinates):
Ta: 0.000 0.000 0.000
Ta: 0.500 0.500 0.000
Ir: 0.814 0.314 0.500
Ir: 0.686 0.814 0.500
Ir: 0.314 0.186 0.500
Ir: 0.186 0.686 0.500
Ca: 0.380 0.880 0.000
Ca: 0.880 0.620 0.000
Ca: 0.620 0.120 0.000
Ca: 0.120 0.380 0.000

Space-group type   P4/mbm, No. 127
DOS at the Fermi energy   7.40 states/eV/cell
Total magnetization   0.0 μB per formula unit

=====

ii:
The following is a PBE-GGA calculation of Ca2TaIr2 after structural relaxation, from Alexandria.

a = 6.711 Å, b = 6.711 Å, c = 4.831 Å
α = 90.00°, β = 90.00°, γ = 90.00°
Atoms (fractional coordinates):
Ta: 0.500 0.500 0.000
Ta: 0.000 0.000 0.000
Ca: 0.176 0.676 0.500
Ca: 0.676 0.824 0.500
Ca: 0.324 0.176 0.500
Ca: 0.824 0.324 0.500
Ir: 0.632 0.132 0.000
Ir: 0.132 0.368 0.000
Ir: 0.368 0.868 0.000
Ir: 0.868 0.632 0.000

Space-group type   P4/mbm, No. 127
DOS at the Fermi energy   7.82 states/eV/cell
Total magnetization   0.0 μB per formula unit

=====

Short version: ii is the most stable of them.